1.
Compound: Li2TlFe
Source: Alexandria via LeMat-Bulk
Functional: GGA-PBE
Structure: relaxed

Values from the calculation:
energy of formation from the pure elements = 0.236 eV per atom
space-group type = C2/m

Cell lengths 5.543, 5.543, 2.946 Å; angles 103.13, 103.13, 120.74 degrees
Positions (direct):
Li1 0.000 0.500 0.000
Li2 0.500 0.000 0.000
Tl1 0.000 0.000 0.500
Fe1 0.500 0.500 0.500



2.
Compound: LiTmFe4
Source: Alexandria via LeMat-Bulk
Functional: GGA-PBE
Structure: relaxed

Values from the calculation:
energy of formation from the pure elements = 0.052 eV per atom
space-group type = F-43m

Cell lengths 4.930, 4.930, 4.930 Å; angles 60.00, 60.00, 60.00 degrees
Positions (direct):
Li1 0.000 0.000 0.000
Tm1 0.250 0.250 0.250
Fe1 0.124 0.625 0.625
Fe2 0.625 0.124 0.625
Fe3 0.625 0.625 0.124
Fe4 0.625 0.625 0.625



3.
Compound: Li3Tm12Fe5
Source: Alexandria via LeMat-Bulk
Functional: GGA-PBE
Structure: relaxed

Values from the calculation:
energy of formation from the pure elements = 0.499 eV per atom
space-group type = Ia-3d

Cell lengths 14.171, 14.171, 14.171 Å; angles 109.47, 109.47, 109.47 degrees
Positions (direct):
Li1 0.125 0.250 0.375
Li2 0.125 0.375 0.750
Li3 0.250 0.375 0.125
Li4 0.250 0.875 0.625
Li5 0.375 0.125 0.250
Li6 0.375 0.750 0.125
Li7 0.625 0.250 0.875
Li8 0.625 0.875 0.750
Li9 0.750 0.125 0.375
Li10 0.750 0.625 0.875
Li11 0.875 0.625 0.250
Li12 0.875 0.750 0.625
Tm1 0.015 0.196 0.104
Tm2 0.015 0.319 0.912
Tm3 0.088 0.604 0.408
Tm4 0.088 0.985 0.681
Tm5 0.092 0.696 0.681
Tm6 0.092 0.896 0.412
Tm7 0.104 0.015 0.196
Tm8 0.104 0.588 0.908
Tm9 0.181 0.196 0.592
Tm10 0.181 0.485 0.588
Tm11 0.196 0.104 0.015
Tm12 0.196 0.592 0.181
Tm13 0.304 0.319 0.908
Tm14 0.304 0.485 0.396
Tm15 0.319 0.908 0.304
Tm16 0.319 0.912 0.015
Tm17 0.396 0.304 0.485
Tm18 0.396 0.592 0.912
Tm19 0.408 0.088 0.604
Tm20 0.408 0.819 0.804
Tm21 0.412 0.092 0.896
Tm22 0.412 0.819 0.515
Tm23 0.485 0.396 0.304
Tm24 0.485 0.588 0.181
Tm25 0.515 0.412 0.819
Tm26 0.515 0.604 0.696
Tm27 0.588 0.181 0.485
Tm28 0.588 0.908 0.104
Tm29 0.592 0.181 0.196
Tm30 0.592 0.912 0.396
Tm31 0.604 0.408 0.088
Tm32 0.604 0.696 0.515
Tm33 0.681 0.088 0.985
Tm34 0.681 0.092 0.696
Tm35 0.696 0.515 0.604
Tm36 0.696 0.681 0.092
Tm37 0.804 0.408 0.819
Tm38 0.804 0.896 0.985
Tm39 0.819 0.515 0.412
Tm40 0.819 0.804 0.408
Tm41 0.896 0.412 0.092
Tm42 0.896 0.985 0.804
Tm43 0.908 0.104 0.588
Tm44 0.908 0.304 0.319
Tm45 0.912 0.015 0.319
Tm46 0.912 0.396 0.592
Tm47 0.985 0.681 0.088
Tm48 0.985 0.804 0.896
Fe1 0.000 0.000 0.000
Fe2 0.000 0.000 0.500
Fe3 0.000 0.500 0.000
Fe4 0.000 0.500 0.500
Fe5 0.125 0.750 0.875
Fe6 0.125 0.875 0.250
Fe7 0.250 0.125 0.875
Fe8 0.250 0.625 0.375
Fe9 0.375 0.250 0.625
Fe10 0.375 0.625 0.750
Fe11 0.500 0.000 0.000
Fe12 0.500 0.000 0.500
Fe13 0.500 0.500 0.000
Fe14 0.500 0.500 0.500
Fe15 0.625 0.375 0.250
Fe16 0.625 0.750 0.375
Fe17 0.750 0.375 0.625
Fe18 0.750 0.875 0.125
Fe19 0.875 0.125 0.750
Fe20 0.875 0.250 0.125



4.
Compound: LiTm12Fe6
Source: Alexandria via LeMat-Bulk
Functional: GGA-PBE
Structure: relaxed

Values from the calculation:
energy of formation from the pure elements = -0.028 eV per atom
space-group type = Im-3

Cell lengths 8.284, 8.284, 8.284 Å; angles 109.47, 109.47, 109.47 degrees
Positions (direct):
Li1 0.000 0.000 0.000
Tm1 0.103 0.301 0.803
Tm2 0.197 0.498 0.301
Tm3 0.197 0.897 0.699
Tm4 0.301 0.197 0.498
Tm5 0.301 0.803 0.103
Tm6 0.498 0.301 0.197
Tm7 0.502 0.699 0.803
Tm8 0.699 0.197 0.897
Tm9 0.699 0.803 0.502
Tm10 0.803 0.103 0.301
Tm11 0.803 0.502 0.699
Tm12 0.897 0.699 0.197
Fe1 0.111 0.500 0.611
Fe2 0.389 0.889 0.500
Fe3 0.500 0.389 0.889
Fe4 0.500 0.611 0.111
Fe5 0.611 0.111 0.500
Fe6 0.889 0.500 0.389



5.
Compound: LiTm3Fe
Source: Alexandria via LeMat-Bulk
Functional: GGA-PBE
Structure: relaxed

Values from the calculation:
energy of formation from the pure elements = 0.105 eV per atom
space-group type = Pm-3m

Cell lengths 5.149, 5.149, 5.149 Å; angles 90.00, 90.00, 90.00 degrees
Positions (direct):
Li1 0.000 0.000 0.000
Tm1 0.000 0.500 0.500
Tm2 0.500 0.000 0.500
Tm3 0.500 0.500 0.000
Fe1 0.500 0.500 0.500



6.
Compound: LiUFe2
Source: Alexandria via LeMat-Bulk
Functional: GGA-PBE
Structure: relaxed

Values from the calculation:
energy of formation from the pure elements = 0.072 eV per atom
space-group type = P4/mmm

Cell lengths 3.942, 3.942, 3.446 Å; angles 90.00, 90.00, 90.00 degrees
Positions (direct):
Li1 0.000 0.000 0.000
U1 0.500 0.500 0.000
Fe1 0.000 0.500 0.500
Fe2 0.500 0.000 0.500



7.
Compound: LiUFe
Source: Alexandria via LeMat-Bulk
Functional: GGA-PBE
Structure: relaxed

Values from the calculation:
energy of formation from the pure elements = 0.127 eV per atom
space-group type = C2/m

Cell lengths 3.481, 3.481, 9.447 Å; angles 95.15, 95.15, 88.05 degrees
Positions (direct):
Li1 0.219 0.219 0.404
Li2 0.781 0.781 0.596
U1 0.353 0.353 0.850
U2 0.647 0.647 0.150
Fe1 0.119 0.119 0.127
Fe2 0.881 0.881 0.873



8.
Compound: LiV3Fe
Source: Alexandria via LeMat-Bulk
Functional: GGA-PBE
Structure: relaxed

Values from the calculation:
energy of formation from the pure elements = 0.781 eV per atom
E above lowest polymorph = 0.0 kJ/mol of atoms
space-group type = Pm-3m

Cell lengths 4.334, 4.334, 4.334 Å; angles 90.00, 90.00, 90.00 degrees
Positions (direct):
Li1 0.000 0.000 0.000
V1 0.000 0.500 0.500
V2 0.500 0.000 0.500
V3 0.500 0.500 0.000
Fe1 0.500 0.500 0.500



Number 1: volume 17.3 Å³ per atom. Number 2: volume 14.1 Å³ per atom. Number 3: volume 27.4 Å³ per atom. Number 4: volume 23.0 Å³ per atom. Number 5: volume 27.3 Å³ per atom. Number 6: volume 13.4 Å³ per atom. Number 7: volume 18.9 Å³ per atom. Number 8: volume 16.3 Å³ per atom.